Entry 1:
MgTaPb2 PBE relaxed; crystal system = orthorhombic; calculated density = 9652 kg/m³; E_tot = -19.38 eV for the cell shown
1.0
7.5940 0.0154 -0.0055
5.3616 5.3780 0.0055
-5.9907 -3.8668 2.6132
Mg Pb Ta
1 2 1
direct
0.6849 0.1849 0.5000
0.0115 0.0115 0.0000
0.3054 0.8054 0.5000
0.4982 0.4982 0.0000

Entry 2:
MgTa2Pb PBE relaxed; crystal system = orthorhombic; calculated density = 12251 kg/m³; E_tot = -27.12 eV for the cell shown
1.0
-1.0775 2.1758 4.8983
1.9142 -5.1205 0.0674
2.7889 1.0445 0.1495
Mg Pb Ta
1 1 2
direct
0.5000 0.0000 0.5000
0.0000 0.5000 0.5000
0.0000 0.0000 0.0000
0.5000 0.5000 0.0000

Entry 3:
Mg2TaPb PBE relaxed; crystal system = tetragonal; calculated density = 7852 kg/m³; E_tot = -31.86 eV for the cell shown
1.0
8.0078 0.0000 0.0000
0.0000 8.0078 0.0000
4.0039 4.0039 2.8808
Pb Mg Ta
2 4 2
direct
0.0000 0.0000 0.0000
0.7500 0.2500 0.5000
0.6263 0.1250 0.2500
0.1237 0.6250 0.2500
0.3750 0.3737 0.7500
0.8750 0.8763 0.7500
0.5000 0.5000 0.0000
0.2500 0.7500 0.5000

Entry 4:
MgTa2Pb PBE relaxed; crystal system = tetragonal; calculated density = 12355 kg/m³; E_tot = -26.58 eV for the cell shown
1.0
3.6751 0.0000 0.0000
0.0000 3.6751 0.0000
0.0000 0.0000 5.9050
Mg Pb Ta
1 1 2
direct
0.5000 0.5000 0.2500
0.5000 0.5000 0.7500
0.0000 0.0000 0.0042
0.0000 0.0000 0.4958

Number 1: formation enthalpy at 0 K 1.48 eV/f.u.. Number 2: formation enthalpy at 0 K 1.88 eV/f.u.. Number 3: formation enthalpy at 0 K 2.82 eV/f.u.. Number 4: formation enthalpy at 0 K 2.43 eV/f.u..